--- P ---
This record from the Alexandria database describes a relaxed Tb4Pm3Tl crystal. The functional is PBE.

Computed properties:
The volume is 505 Å³ per cell. As for the space group: Pmn2_1.

abc: 7.073 6.215 11.482
angles: 90.00 90.00 90.00
Fractional coordinates of all 16 atoms:
Tb 0.188 0.834 0.000
Tb 0.434 0.320 0.000
Tb 0.939 0.015 0.246
Tb 0.439 0.985 0.254
Tb 0.934 0.680 0.500
Tb 0.688 0.166 0.500
Tb 0.439 0.985 0.746
Tb 0.939 0.015 0.754
Pm 0.691 0.845 0.000
Pm 0.189 0.502 0.253
Pm 0.689 0.498 0.247
Pm 0.191 0.155 0.500
Pm 0.689 0.498 0.753
Pm 0.189 0.502 0.747
Tl 0.945 0.339 0.000
Tl 0.445 0.661 0.500

---

--- Q ---
This record from the Alexandria database describes a relaxed Tb4Pm3Tl crystal. The functional is PBE.

Computed properties:
The volume is 252 Å³ per cell. As for the space group: P4/mmm.

abc: 4.175 4.175 14.472
angles: 90.00 90.00 90.00
Fractional coordinates of all 8 atoms:
Tl 0.500 0.500 0.000
Tb 0.000 0.000 0.889
Tb 0.000 0.000 0.111
Tb 0.000 0.000 0.368
Tb 0.000 0.000 0.632
Pm 0.500 0.500 0.248
Pm 0.500 0.500 0.500
Pm 0.500 0.500 0.752

---

Which one sits at the top of the stability order? P does.

---

--- P ---
This record from the Alexandria database describes a relaxed Tb6Pm2Tl crystal. The functional is PBE.

Computed properties:
The volume is 565 Å³ per cell. As for the space group: C2/c.

abc: 6.098 11.455 11.455
angles: 47.59 105.43 105.42
Fractional coordinates of all 18 atoms:
Tb 0.429 0.650 0.503
Tb 0.071 0.497 0.350
Tb 0.571 0.350 0.497
Tb 0.929 0.503 0.650
Tb 0.917 0.917 0.417
Tb 0.583 0.583 0.083
Tb 0.083 0.083 0.583
Tb 0.417 0.417 0.917
Tb 0.274 0.850 0.997
Tb 0.226 0.003 0.150
Tb 0.726 0.150 0.003
Tb 0.774 0.997 0.850
Pm 0.454 0.830 0.669
Pm 0.045 0.331 0.170
Pm 0.546 0.170 0.331
Pm 0.955 0.669 0.830
Tl 0.250 0.249 0.751
Tl 0.750 0.751 0.249

---

--- Q ---
This record from the Alexandria database describes a relaxed Tb6Pm2Tl crystal. The functional is PBE.

Computed properties:
The volume is 289 Å³ per cell. As for the space group: Immm.

abc: 3.525 10.235 9.662
angles: 121.98 100.51 90.00
Fractional coordinates of all 9 atoms:
Tb 0.177 0.339 0.353
Tb 0.823 0.986 0.647
Tb 0.823 0.661 0.647
Tb 0.500 0.304 0.000
Tb 0.177 0.014 0.353
Tb 0.500 0.696 0.000
Pm 0.153 0.653 0.307
Pm 0.847 0.347 0.693
Tl 0.000 0.000 0.000

---

Which one sits at the top of the stability order? Q does.

---

--- P ---
This record from the Alexandria database describes a relaxed TbPm8Tl2 crystal. The functional is PBE.

Computed properties:
The volume is 356 Å³ per cell. As for the space group: C2/m.

abc: 5.203 8.358 9.160
angles: 110.19 106.50 90.00
Fractional coordinates of all 11 atoms:
Tb 0.500 0.000 0.000
Pm 0.600 0.464 0.200
Pm 0.314 0.053 0.628
Pm 0.145 0.204 0.290
Pm 0.052 0.738 0.104
Pm 0.855 0.796 0.710
Pm 0.686 0.947 0.372
Pm 0.400 0.536 0.800
Pm 0.948 0.262 0.896
Tl 0.223 0.641 0.445
Tl 0.777 0.359 0.555

---

--- Q ---
This record from the Alexandria database describes a relaxed TbPm8Tl2 crystal. The functional is PBE.

Computed properties:
The volume is 358 Å³ per cell. As for the space group: C2/m.

abc: 6.220 10.093 10.093
angles: 39.26 64.91 64.91
Fractional coordinates of all 11 atoms:
Tb 0.000 0.000 0.000
Pm 0.223 0.085 0.566
Pm 0.223 0.566 0.085
Pm 0.777 0.915 0.434
Pm 0.269 0.492 0.492
Pm 0.777 0.434 0.915
Pm 0.331 0.127 0.127
Pm 0.669 0.873 0.873
Pm 0.731 0.508 0.508
Tl 0.749 0.323 0.323
Tl 0.251 0.677 0.677

---

Which one sits at the top of the stability order? P does.